(1)
Below is an optimized crystal structure of Nd2Al4Ga3Pd, with properties calculated at the PBE level.

```
data_Nd2Al4Ga3Pd
_chemical_formula_sum 'Nd2 Al4 Ga3 Pd1'
_symmetry_space_group_name_H-M 'P -4 m 2'
_symmetry_Int_Tables_number 115
_symmetry_space_group_name_Hall 'P -4 -2'
_cell_length_a 4.255
_cell_length_b 4.255
_cell_length_c 10.879
_cell_angle_alpha 90.00
_cell_angle_beta 90.00
_cell_angle_gamma 90.00
loop_
_atom_site_label
_atom_site_type_symbol
_atom_site_fract_x
_atom_site_fract_y
_atom_site_fract_z
Nd1 Nd 0.000 0.500 0.250
Al1 Al 0.000 0.000 0.000
Al2 Al 0.000 0.500 0.627
Al3 Al 0.500 0.500 0.000
Ga1 Ga 0.000 0.500 0.858
Ga2 Ga 0.500 0.500 0.500
Pd1 Pd 0.000 0.000 0.500
```

Crystal system: tetragonal
Calculated density: 6.002 g cm⁻³
Energy of formation from the pure elements: -571 meV per atom


(2)
Below is an optimized crystal structure of Nd2Al2GaPd5, with properties calculated at the PBE level.

```
data_Nd2Al2GaPd5
_chemical_formula_sum 'Nd4 Al4 Ga2 Pd10'
_symmetry_space_group_name_H-M 'P 4/m b m'
_symmetry_Int_Tables_number 127
_symmetry_space_group_name_Hall '-P 4 2ab'
_cell_length_a 10.863
_cell_length_b 10.863
_cell_length_c 3.099
_cell_angle_alpha 90.00
_cell_angle_beta 90.00
_cell_angle_gamma 90.00
loop_
_atom_site_label
_atom_site_type_symbol
_atom_site_fract_x
_atom_site_fract_y
_atom_site_fract_z
Nd1 Nd 0.175 0.325 0.000
Al1 Al 0.130 0.630 0.000
Ga1 Ga 0.000 0.000 0.000
Pd1 Pd 0.000 0.500 0.500
Pd2 Pd 0.057 0.807 0.500
```

Crystal system: tetragonal
Calculated density: 8.576 g cm⁻³
Energy of formation from the pure elements: -725 meV per atom


(3)
Below is an optimized crystal structure of NdAlGa2Pd4, with properties calculated at the PBE level.

```
data_NdAlGa2Pd4
_chemical_formula_sum 'Nd3 Al3 Ga6 Pd12'
_symmetry_space_group_name_H-M 'R -3 m'
_symmetry_Int_Tables_number 166
_symmetry_space_group_name_Hall '-R 3 2"'
_cell_length_a 4.3410
_cell_length_b 4.3410
_cell_length_c 25.9737
_cell_angle_alpha 90.00
_cell_angle_beta 90.00
_cell_angle_gamma 120.00
loop_
_atom_site_label
_atom_site_type_symbol
_atom_site_fract_x
_atom_site_fract_y
_atom_site_fract_z
Nd1 Nd 0.0000 0.0000 0.0000
Al1 Al 0.0000 0.0000 0.5000
Ga1 Ga 0.0000 0.0000 0.2435
Pd1 Pd 0.0000 0.0000 0.1356
Pd2 Pd 0.0000 0.0000 0.4040
```

Crystal system: trigonal
Calculated density: 8.654 g cm⁻³
Energy of formation from the pure elements: -773 meV per atom


(4)
Below is an optimized crystal structure of NdAlGaPd3, with properties calculated at the PBE level.

```
data_NdAlGaPd3
_chemical_formula_sum 'Nd4 Al4 Ga4 Pd12'
_symmetry_space_group_name_H-M 'C m c m'
_symmetry_Int_Tables_number 63
_symmetry_space_group_name_Hall '-C 2c 2'
_cell_length_a 6.660
_cell_length_b 12.367
_cell_length_c 5.682
_cell_angle_alpha 90.00
_cell_angle_beta 90.00
_cell_angle_gamma 90.00
loop_
_atom_site_label
_atom_site_type_symbol
_atom_site_fract_x
_atom_site_fract_y
_atom_site_fract_z
Nd1 Nd 0.000 0.209 0.250
Al1 Al 0.000 0.459 0.250
Ga1 Ga 0.000 0.133 0.750
Pd1 Pd 0.000 0.336 0.750
Pd2 Pd 0.207 0.000 0.000
```

Crystal system: orthorhombic
Calculated density: 7.951 g cm⁻³
Energy of formation from the pure elements: -663 meV per atom


(5)
Below is an optimized crystal structure of NdAlGaPd, with properties calculated at the PBE level.

```
data_NdAlGaPd
_chemical_formula_sum 'Nd3 Al3 Ga3 Pd3'
_symmetry_space_group_name_H-M 'R 3 m'
_symmetry_Int_Tables_number 160
_symmetry_space_group_name_Hall 'R 3 -2"'
_cell_length_a 4.2785
_cell_length_b 4.2785
_cell_length_c 15.8874
_cell_angle_alpha 90.00
_cell_angle_beta 90.00
_cell_angle_gamma 120.00
loop_
_atom_site_label
_atom_site_type_symbol
_atom_site_fract_x
_atom_site_fract_y
_atom_site_fract_z
Nd1 Nd 0.0000 0.0000 0.0000
Al1 Al 0.0000 0.0000 0.7921
Ga1 Ga 0.0000 0.0000 0.2152
Pd1 Pd 0.0000 0.0000 0.4965
```

Energy relative to the lowest polymorph listed for this composition: 0 meV per atom
Crystal system: trigonal
Calculated density: 6.871 g cm⁻³
Energy of formation from the pure elements: -715 meV per atom


(6)
Below is an optimized crystal structure of NdAlGa2Pd, with properties calculated at the PBE level.

```
data_NdAlGa2Pd
_chemical_formula_sum 'Nd2 Al2 Ga4 Pd2'
_symmetry_space_group_name_H-M 'I -4 m 2'
_symmetry_Int_Tables_number 119
_symmetry_space_group_name_Hall 'I -4 -2'
_cell_length_a 4.170
_cell_length_b 4.170
_cell_length_c 11.106
_cell_angle_alpha 90.00
_cell_angle_beta 90.00
_cell_angle_gamma 90.00
loop_
_atom_site_label
_atom_site_type_symbol
_atom_site_fract_x
_atom_site_fract_y
_atom_site_fract_z
Nd1 Nd 0.000 0.000 0.000
Al1 Al 0.000 0.500 0.250
Ga1 Ga 0.000 0.000 0.388
Pd1 Pd 0.000 0.500 0.750
```

Crystal system: tetragonal
Calculated density: 7.174 g cm⁻³
Energy of formation from the pure elements: -710 meV per atom